Computed, not measured: crystalline LaTaMo2 at its relaxed geometry at the PBE level of DFT.

The value obtained for the polymorph energy (0 for the lowest one) is 46.5 meV/atom. The calculation puts the calculated formation energy at 0.34 eV per atom. The final energy is -37.099 eV/cell. The value obtained for the magnetization is 0.00 μB/cell.

abc: 3.3199 3.3199 7.1222
angles: 90.00 90.00 90.00
Positions (direct):
La: 0.5000 0.5000 0.7500
Mo: 0.0000 0.0000 0.0340
Mo: 0.0000 0.0000 0.4660
Ta: 0.5000 0.5000 0.2500